## TlP3Cl (GGA-PBE)

Data for crystalline TlP3Cl at its relaxed geometry.

Cell and atoms, written as POSCAR:
```
TlP3Cl
1.0
4.777 0.000 0.000
0.000 4.777 0.000
0.000 0.000 4.777
Tl P Cl
1 3 1
Direct
0.000 0.000 0.000
0.000 0.500 0.500
0.500 0.000 0.500
0.500 0.500 0.000
0.500 0.500 0.500
```

## Properties
- ΔE_f (raw): 116.9 kJ per mole of atoms
- Space-group type: Pm-3m, No. 221
- Total energy: -2.877 eV/atom
- Total magnetization: 0.0 μB per formula unit

## TlP2Cl (GGA-PBE)

Data for crystalline TlP2Cl at its relaxed geometry.

Cell and atoms, written as POSCAR:
```
TlP2Cl
1.0
-1.685 3.376 4.858
1.685 -3.376 4.858
1.685 3.376 -4.858
Tl P Cl
1 2 1
Direct
0.000 0.000 0.000
0.341 0.841 0.500
0.480 0.480 0.000
0.764 0.264 0.500
```

## Properties
- ΔE_f (raw): -7.9 kJ per mole of atoms
- Space-group type: Imm2, No. 44
- Total energy: -3.840 eV/atom
- Total magnetization: 0.0 μB per formula unit